# Pr4ThCd5

A geometry-optimized Pr4ThCd5 structure (PBE, Alexandria via LeMat-Bulk).

Properties
As for the uncorrected energy: -3.373 eV per atom. As for the formation energy: -262 meV per atom.

Cell lengths 3.876, 3.876, 19.370 Å; angles 90.00, 90.00, 90.00 degrees
Last column: magnetic moment on the atom in μB.
Fractional coordinates of all 10 atoms:
Pr: 0.000 0.000 0.198  0.09
Pr: 0.000 0.000 0.399  0.13
Pr: 0.000 0.000 0.601  0.13
Pr: 0.000 0.000 0.802  0.09
Th: 0.000 0.000 0.000  0.03
Cd: 0.500 0.500 0.099  0.00
Cd: 0.500 0.500 0.299  0.01
Cd: 0.500 0.500 0.500  0.01
Cd: 0.500 0.500 0.701  0.01
Cd: 0.500 0.500 0.901  0.00

# Pr2ThCd

A geometry-optimized Pr2ThCd structure (PBE, Alexandria via LeMat-Bulk).

Properties
For the offset from the most stable computed form, the calculation gives 227 meV per atom. As for the uncorrected energy: -4.402 eV per atom. As for the formation energy: 72 meV per atom.

Cell lengths 5.617, 5.617, 5.617 Å; angles 60.00, 60.00, 60.00 degrees
Last column: magnetic moment on the atom in μB.
Fractional coordinates of all 4 atoms:
Pr: 0.250 0.250 0.250  0.04
Pr: 0.750 0.750 0.750  0.04
Th: 0.000 0.000 0.000  0.11
Cd: 0.500 0.500 0.500  0.00

# Pr2ThCd

A geometry-optimized Pr2ThCd structure (PBE, Alexandria via LeMat-Bulk).

Properties
For the offset from the most stable computed form, the calculation gives 0 meV per atom. As for the uncorrected energy: -4.629 eV per atom. As for the formation energy: -155 meV per atom.

Cell lengths 3.684, 3.684, 9.232 Å; angles 90.00, 90.00, 90.00 degrees
Fractional coordinates of all 4 atoms:
Pr: 0.000 0.000 0.765
Pr: 0.000 0.000 0.235
Th: 0.500 0.500 0.500
Cd: 0.500 0.500 0.000

Question: The lowest uncorrected energy belongs to which entry?
Answer: number 3

Question: Among the records above, which one has the lowest formation energy?
Answer: Pr4ThCd5

Question: What is the formula in the third record?
Answer: Pr2ThCd